Entry from the Alexandria database: a relaxed Sr2AgBi crystal (PBE).

Results
For the formation energy, the calculation gives -0.07 eV/atom. As for the space group: Immm, No. 71.

Cell: 9.6649 9.6649 9.6649 Å, 155.02 154.96 35.66°
Positions (direct):
Sr 0.1641 0.1641 0.0000
Sr 0.8359 0.8359 0.0000
Ag 0.0000 0.0000 0.0000
Bi 0.5000 0.5000 0.0000


Entry from the Alexandria database: a relaxed MnV2RhC crystal (PBE).

Results
For the formation energy, the calculation gives -0.24 eV/atom. As for the space group: P4/mmm, No. 123.

Cell: 3.9579 3.9579 3.7933 Å, 90.00 90.00 90.00°
Positions (direct):
Mn 0.0000 0.0000 0.0000
V 0.0000 0.5000 0.5000
V 0.5000 0.0000 0.5000
Rh 0.5000 0.5000 0.0000
C 0.0000 0.0000 0.5000


Entry from the Alexandria database: a relaxed TcSCl2 crystal (PBE).

Results
The raw formation energy comes out at -0.3694 eV/atom. As for the space group: P1, No. 1. The value obtained for the relative energy among the computed polymorphs is 0.000 eV/atom.

Cell: 3.4860 4.0745 7.9887 Å, 104.56 96.67 101.50°
Positions (direct):
Tc 0.0000 0.0000 0.0000
S 0.5953 0.3488 0.0000
Cl 0.1389 0.0208 0.2880
Cl 0.9107 0.6979 0.7120


Entry from the Alexandria database: a relaxed RbMgTl2W crystal (PBE).

Results
For the formation energy, the calculation gives 1.19 eV/atom. As for the space group: P4/mmm, No. 123.

Cell: 5.5901 5.5901 5.4679 Å, 90.00 90.00 90.00°
Positions (direct):
Rb 0.0000 0.0000 0.0000
Mg 0.5000 0.5000 0.5000
Tl 0.0000 0.5000 0.5000
Tl 0.5000 0.0000 0.5000
W 0.5000 0.5000 0.0000


Entry from the Alexandria database: a relaxed CaOsCl2 crystal (PBE).

Results
The raw formation energy comes out at -0.2199 eV/atom. As for the space group: Cm, No. 8. The value obtained for the relative energy among the computed polymorphs is 0.191 eV/atom.

Cell: 8.4644 8.4644 3.7409 Å, 102.20 102.20 21.45°
Positions (direct):
Ca 0.0000 0.0000 0.0000
Os 0.3473 0.3473 0.8423
Cl 0.5819 0.5819 0.5781
Cl 0.8156 0.8156 0.3114


Entry from the Alexandria database: a relaxed AcPm4Dy8 crystal (PBE).

Results
For the formation energy, the calculation gives 0.10 eV/atom. As for the space group: C2/m, No. 12.

Cell: 6.2360 6.2360 12.4961 Å, 102.17 102.17 69.41°
Positions (direct):
Ac 0.0000 0.0000 0.0000
Pm 0.2600 0.7400 0.5000
Pm 0.2819 0.2819 0.6463
Pm 0.7181 0.7181 0.3537
Pm 0.7400 0.2600 0.5000
Dy 0.1749 0.6436 0.2088
Dy 0.1901 0.1901 0.3422
Dy 0.3503 0.3503 0.9365
Dy 0.3564 0.8251 0.7912
Dy 0.6436 0.1749 0.2088
Dy 0.6497 0.6497 0.0635
Dy 0.8099 0.8099 0.6578
Dy 0.8251 0.3564 0.7912


Entry from the Alexandria database: a relaxed PrNd8Sc2 crystal (PBE).

Results
For the formation energy, the calculation gives 0.12 eV/atom. As for the space group: Immm, No. 71. The value obtained for the relative energy among the computed polymorphs is 0.000 eV/atom.

Cell: 9.3869 9.3869 9.3869 Å, 145.67 126.21 65.38°
Positions (direct):
Pr 0.0000 0.0000 0.0000
Nd 0.1522 0.8546 0.2976
Nd 0.1613 0.6613 0.5000
Nd 0.3015 0.5000 0.8015
Nd 0.4429 0.1454 0.2976
Nd 0.5571 0.8546 0.7024
Nd 0.6985 0.5000 0.1985
Nd 0.8387 0.3387 0.5000
Nd 0.8478 0.1454 0.7024
Sc 0.2997 0.2997 0.0000
Sc 0.7003 0.7003 0.0000


Entry from the Alexandria database: a relaxed La6Dy2Sc crystal (PBE).

Results
For the formation energy, the calculation gives 0.04 eV/atom. As for the space group: C2/m, No. 12.

Cell: 6.2554 6.2554 10.9392 Å, 105.81 105.81 48.82°
Positions (direct):
La 0.0034 0.0034 0.1744
La 0.3320 0.3320 0.6068
La 0.3358 0.3358 0.9479
La 0.6642 0.6642 0.0521
La 0.6680 0.6680 0.3932
La 0.9966 0.9966 0.8256
Dy 0.3379 0.3379 0.2838
Dy 0.6621 0.6621 0.7162
Sc 0.0000 0.0000 0.5000


Entry from the Alexandria database: a relaxed PSCl2O crystal (PBE).

Results
The raw formation energy comes out at 0.9885 eV/atom. As for the space group: P4/mmm, No. 123. The value obtained for the relative energy among the computed polymorphs is 0.308 eV/atom.

Cell: 4.5775 4.5775 4.1015 Å, 90.00 90.00 90.00°
Positions (direct):
P 0.0000 0.0000 0.0000
S 0.5000 0.5000 0.0000
Cl 0.0000 0.5000 0.5000
Cl 0.5000 0.0000 0.5000
O 0.0000 0.0000 0.5000


Entry from the Alexandria database: a relaxed NdTmHf crystal (PBE).

Results
For the formation energy, the calculation gives 0.14 eV/atom. As for the space group: I4mm, No. 107. The value obtained for the relative energy among the computed polymorphs is 0.000 eV/atom.

Cell: 7.9610 7.9610 7.9610 Å, 155.67 155.67 34.68°
Positions (direct):
Nd 0.0000 0.0000 0.0000
Tm 0.6904 0.6904 0.0000
Hf 0.3368 0.3368 0.0000


Entry from the Alexandria database: a relaxed SrMgTcO6 crystal (PBE).

Results
The raw formation energy comes out at -1.8151 eV/atom. As for the space group: P1, No. 1.

Cell: 5.1610 5.3671 5.3828 Å, 89.90 61.65 87.31°
Positions (direct):
Sr 0.0000 0.0000 0.0000
Mg 0.6583 0.4971 0.6616
Tc 0.3515 0.5206 0.2944
O 0.0048 0.6992 0.3699
O 0.0256 0.3055 0.6326
O 0.3108 0.6727 0.6382
O 0.3482 0.2933 0.0447
O 0.5942 0.7237 0.0254
O 0.6244 0.3131 0.3464


Entry from the Alexandria database: a relaxed Si2TcSb crystal (PBE).

Results
The raw formation energy comes out at 0.2479 eV/atom. As for the space group: P2/m, No. 10.

Cell: 3.5189 4.4093 4.6407 Å, 90.00 95.82 90.00°
Positions (direct):
Si 0.0429 0.0000 0.2507
Si 0.9571 0.0000 0.7493
Tc 0.0000 0.5000 0.5000
Sb 0.5000 0.5000 0.0000


Entry from the Alexandria database: a relaxed Sc2Cd3In2 crystal (PBE).

Results
For the formation energy, the calculation gives -0.19 eV/atom. As for the space group: Cmmm, No. 65.

Cell: 10.9098 10.9098 3.2823 Å, 90.00 90.00 155.87°
Positions (direct):
Sc 0.1510 0.8490 0.0000
Sc 0.8490 0.1510 0.0000
Cd 0.0000 0.0000 0.0000
Cd 0.4297 0.5703 0.5000
Cd 0.5703 0.4297 0.5000
In 0.2908 0.7092 0.5000
In 0.7092 0.2908 0.5000


Entry from the Alexandria database: a relaxed NbCo2Pt2 crystal (PBE).

Results
For the formation energy, the calculation gives 0.08 eV/atom. As for the space group: I4/mmm, No. 139. The value obtained for the relative energy among the computed polymorphs is 0.230 eV/atom.

Cell: 6.0742 6.0742 6.0742 Å, 144.29 144.29 51.39°
Positions (direct):
Nb 0.0000 0.0000 0.0000
Co 0.4043 0.4043 0.0000
Co 0.5957 0.5957 0.0000
Pt 0.2500 0.7500 0.5000
Pt 0.7500 0.2500 0.5000


Entry from the Alexandria database: a relaxed InB2O crystal (PBE).

Results
The raw formation energy comes out at 1.7316 eV/atom. As for the space group: Fm-3m, No. 225. The value obtained for the relative energy among the computed polymorphs is 1.204 eV/atom.

Cell: 4.1186 4.1186 4.1186 Å, 60.00 60.00 60.00°
Positions (direct):
In 0.0000 0.0000 0.0000
B 0.2500 0.2500 0.2500
B 0.7500 0.7500 0.7500
O 0.5000 0.5000 0.5000


Entry from the Alexandria database: a relaxed Mg2CdRhCl crystal (PBE).

Results
The raw formation energy comes out at -0.0071 eV/atom. As for the space group: P4/mmm, No. 123.

Cell: 5.1154 5.1154 4.7509 Å, 90.00 90.00 90.00°
Positions (direct):
Mg 0.0000 0.5000 0.0000
Mg 0.5000 0.0000 0.0000
Cd 0.0000 0.0000 0.5000
Rh 0.5000 0.5000 0.0000
Cl 0.5000 0.5000 0.5000


Entry from the Alexandria database: a relaxed Pm2Ho2Th15 crystal (PBE).

Results
For the formation energy, the calculation gives 0.28 eV/atom. As for the space group: R-3m, No. 166.

Cell: 8.7574 8.7574 8.7574 Å, 81.76 81.76 81.76°
Positions (direct):
Pm 0.1759 0.1759 0.1759
Pm 0.8241 0.8241 0.8241
Ho 0.4011 0.4011 0.4011
Ho 0.5989 0.5989 0.5989
Th 0.0000 0.5000 0.5000
Th 0.1454 0.1454 0.6605
Th 0.1454 0.6605 0.1454
Th 0.2026 0.5000 0.7974
Th 0.2026 0.7974 0.5000
Th 0.3395 0.8546 0.8546
Th 0.5000 0.0000 0.5000
Th 0.5000 0.2026 0.7974
Th 0.5000 0.5000 0.0000
Th 0.5000 0.7974 0.2026
Th 0.6605 0.1454 0.1454
Th 0.7974 0.2026 0.5000
Th 0.7974 0.5000 0.2026
Th 0.8546 0.3395 0.8546
Th 0.8546 0.8546 0.3395


Entry from the Alexandria database: a relaxed Tb2Ni4P3Pt crystal (PBE).

Results
For the formation energy, the calculation gives -0.88 eV/atom. As for the space group: P-4m2, No. 115.

Cell: 3.8745 3.8745 9.9260 Å, 90.00 90.00 90.00°
Positions (direct):
Tb 0.0000 0.5000 0.2452
Tb 0.5000 0.0000 0.7548
Ni 0.0000 0.0000 0.0000
Ni 0.0000 0.5000 0.6561
Ni 0.5000 0.0000 0.3439
Ni 0.5000 0.5000 0.0000
P 0.0000 0.5000 0.8749
P 0.5000 0.0000 0.1251
P 0.5000 0.5000 0.5000
Pt 0.0000 0.0000 0.5000


Entry from the Alexandria database: a relaxed LiCdGaRh2 crystal (PBE).

Results
For the formation energy, the calculation gives 0.83 eV/atom. As for the space group: P4/mmm, No. 123.

Cell: 4.9170 4.9170 4.3306 Å, 90.00 90.00 90.00°
Positions (direct):
Li 0.0000 0.0000 0.0000
Cd 0.0000 0.0000 0.5000
Ga 0.5000 0.5000 0.0000
Rh 0.0000 0.5000 0.5000
Rh 0.5000 0.0000 0.5000


Entry from the Alexandria database: a relaxed CaRhBr crystal (PBE).

Results
The raw formation energy comes out at -1.0060 eV/atom. As for the space group: Cm, No. 8. The value obtained for the relative energy among the computed polymorphs is 0.005 eV/atom.

Cell: 4.1097 4.1097 11.4965 Å, 101.70 101.70 64.13°
Positions (direct):
Ca 0.0000 0.0000 0.0000
Ca 0.1561 0.1561 0.3941
Rh 0.3953 0.3953 0.1970
Rh 0.7534 0.7534 0.1970
Br 0.2898 0.2898 0.8548
Br 0.5606 0.5606 0.5392


Entry from the Alexandria database: a relaxed BaMgAl2 crystal (PBE).

Results
For the formation energy, the calculation gives 0.02 eV/atom. As for the space group: P4mm, No. 99.

Cell: 3.6094 3.6094 8.2222 Å, 90.00 90.00 90.00°
Positions (direct):
Ba 0.0000 0.0000 0.0000
Mg 0.5000 0.5000 0.3384
Al 0.0000 0.0000 0.5429
Al 0.5000 0.5000 0.7003


Calculated spin magnetization, 0.00; 0.96; 0.98; 3.63; 0.00; 0.00; 0.00; 0.00; 0.47; 0.00; 1.05; 0.00; 0.00; 2.54; 0.00; 0.00; 0.00; 0.00; 0.00; 0.05; 0.00 μB/f.u. (same order as the records).